(1)
Computed, not measured: PmDyYZr after structural relaxation at the GGA-PBE level of DFT.

Cell and atoms, written as CIF:
```
data_PmDyYZr
_space_group_name_H-M_alt 'F -4 3 m'
_space_group_IT_number 216
_space_group_name_Hall 'F -4 2 3'
_cell_length_a 7.8255
_cell_length_b 7.8255
_cell_length_c 7.8255
_cell_angle_alpha 90.00
_cell_angle_beta 90.00
_cell_angle_gamma 90.00
loop_
_atom_site_label
_atom_site_type_symbol
_atom_site_fract_x
_atom_site_fract_y
_atom_site_fract_z
Pm1 Pm 0.0000 0.0000 0.0000
Dy1 Dy 0.0000 0.0000 0.5000
Y1 Y 0.2500 0.2500 0.7500
Zr1 Zr 0.2500 0.2500 0.2500
```

E: -5.871 eV per atom
Energy of formation from the pure elements: 0.88 eV per formula unit

=====

(2)
Computed, not measured: PmDyZn2 after structural relaxation at the GGA-PBE level of DFT.

Cell and atoms, written as CIF:
```
data_PmDyZn2
_space_group_name_H-M_alt 'R -3 m'
_space_group_IT_number 166
_space_group_name_Hall '-R 3 2"'
_cell_length_a 3.6343
_cell_length_b 3.6343
_cell_length_c 27.1477
_cell_angle_alpha 90.00
_cell_angle_beta 90.00
_cell_angle_gamma 120.00
loop_
_atom_site_label
_atom_site_type_symbol
_atom_site_fract_x
_atom_site_fract_y
_atom_site_fract_z
Pm1 Pm 0.0000 0.0000 0.0000
Dy1 Dy 0.0000 0.0000 0.5000
Zn1 Zn 0.0000 0.0000 0.2475
```

E: -3.080 eV per atom
Energy of formation from the pure elements: -0.42 eV per formula unit

=====

(3)
Computed, not measured: Pm3Dy2Zn3 after structural relaxation at the GGA-PBE level of DFT.

Cell and atoms, written as CIF:
```
data_Pm3Dy2Zn3
_space_group_name_H-M_alt 'I m m m'
_space_group_IT_number 71
_space_group_name_Hall '-I 2 2'
_cell_length_a 3.6658
_cell_length_b 5.2888
_cell_length_c 21.6600
_cell_angle_alpha 90.00
_cell_angle_beta 90.00
_cell_angle_gamma 90.00
loop_
_atom_site_label
_atom_site_type_symbol
_atom_site_fract_x
_atom_site_fract_y
_atom_site_fract_z
Pm1 Pm 0.0000 0.0000 0.0000
Pm2 Pm 0.0000 0.5000 0.1189
Dy1 Dy 0.0000 0.0000 0.2299
Zn1 Zn 0.0000 0.0000 0.5000
Zn2 Zn 0.0000 0.5000 0.3818
```

E: -3.646 eV per atom
Energy of formation from the pure elements: -1.89 eV per formula unit